No. 1
First-principles (GGA-PBE) data for a geometry-optimized NdNb2Cr structure, as listed in the Alexandria database.

a = 9.988 Å, b = 9.988 Å, c = 9.988 Å
α = 17.81°, β = 17.81°, γ = 17.81°
Atoms (fractional coordinates):
Nd 0.000 0.000 0.000
Nb 0.103 0.103 0.103
Nb 0.897 0.897 0.897
Cr 0.500 0.500 0.500

Computed properties:
Formation energy (eV per formula unit): 2.45
N(E_F) (states/eV/cell): 4.48
Energy (eV for the cell shown): -32.08

No. 2
First-principles (GGA-PBE) data for a geometry-optimized GeIO3 structure, as listed in the Alexandria database.

a = 3.890 Å, b = 3.890 Å, c = 3.890 Å
α = 90.00°, β = 90.00°, γ = 90.00°
Atoms (fractional coordinates):
Ge 0.000 0.000 0.000
I 0.500 0.500 0.500
O 0.000 0.000 0.500
O 0.000 0.500 0.000
O 0.500 0.000 0.000

Computed properties:
N(E_F) (states/eV/cell): 2.82
Raw formation energy (eV/atom): -0.31
Energy (eV for the cell shown): -22.59

No. 3
First-principles (GGA-PBE) data for a geometry-optimized BiPI structure, as listed in the Alexandria database.

a = 4.135 Å, b = 4.159 Å, c = 6.561 Å
α = 79.14°, β = 89.93°, γ = 60.35°
Atoms (fractional coordinates):
Bi 0.000 0.000 0.000
P 0.619 0.761 0.782
I 0.359 0.280 0.396

Computed properties:
N(E_F) (states/eV/cell): 0.79
ΔE to the lowest computed polymorph (meV/atom): 241
Raw formation energy (eV/atom): 0.08
Energy (eV for the cell shown): -10.59

No. 4
First-principles (GGA-PBE) data for a geometry-optimized ScGa3Ir2 structure, as listed in the Alexandria database.

a = 7.732 Å, b = 7.732 Å, c = 8.330 Å
α = 122.44°, β = 122.44°, γ = 29.62°
Atoms (fractional coordinates):
Sc 0.133 0.133 0.132
Sc 0.867 0.867 0.868
Ga 0.000 0.000 0.347
Ga 0.000 0.000 0.653
Ga 0.325 0.325 0.526
Ga 0.326 0.326 0.125
Ga 0.674 0.674 0.875
Ga 0.675 0.675 0.474
Ir 0.209 0.209 0.709
Ir 0.500 0.500 0.154
Ir 0.500 0.500 0.846
Ir 0.791 0.791 0.291

Computed properties:
Formation energy (eV per formula unit): -3.31
N(E_F) (states/eV/cell): 5.95
Energy (eV for the cell shown): -72.88

No. 5
First-principles (GGA-PBE) data for a geometry-optimized LiZr2P structure, as listed in the Alexandria database.

a = 3.214 Å, b = 3.214 Å, c = 7.806 Å
α = 90.00°, β = 90.00°, γ = 104.65°
Atoms (fractional coordinates):
Li 0.000 0.000 0.000
Zr 0.500 0.500 0.286
Zr 0.500 0.500 0.714
P 0.000 0.000 0.500

Computed properties:
Formation energy (eV per formula unit): -1.30
N(E_F) (states/eV/cell): 4.07
Energy (eV for the cell shown): -25.72

No. 6
First-principles (GGA-PBE) data for a geometry-optimized Pm2SmHoTm6 structure, as listed in the Alexandria database.

a = 8.709 Å, b = 8.709 Å, c = 9.586 Å
α = 94.44°, β = 94.44°, γ = 118.08°
Atoms (fractional coordinates):
Pm 0.194 0.298 0.044
Pm 0.298 0.194 0.544
Pm 0.702 0.806 0.456
Pm 0.806 0.702 0.956
Sm 0.019 0.981 0.250
Sm 0.981 0.019 0.750
Ho 0.407 0.593 0.750
Ho 0.593 0.407 0.250
Tm 0.022 0.573 0.186
Tm 0.125 0.742 0.558
Tm 0.258 0.875 0.942
Tm 0.293 0.506 0.381
Tm 0.427 0.978 0.314
Tm 0.494 0.707 0.119
Tm 0.506 0.293 0.881
Tm 0.573 0.022 0.686
Tm 0.707 0.494 0.619
Tm 0.742 0.125 0.058
Tm 0.875 0.258 0.442
Tm 0.978 0.427 0.814

Computed properties:
Formation energy (eV per formula unit): 1.19
N(E_F) (states/eV/cell): 27.28
Energy (eV for the cell shown): -88.87

No. 7
First-principles (GGA-PBE) data for a geometry-optimized LiBe2Ni structure, as listed in the Alexandria database.

a = 2.541 Å, b = 2.874 Å, c = 5.548 Å
α = 90.00°, β = 90.09°, γ = 90.00°
Atoms (fractional coordinates):
Li 0.000 0.000 0.000
Be 0.499 0.500 0.294
Be 0.501 0.500 0.706
Ni 0.000 0.000 0.500

Computed properties:
Formation energy (eV per formula unit): -0.50
N(E_F) (states/eV/cell): 1.12
Energy (eV for the cell shown): -15.65

No. 8
First-principles (GGA-PBE) data for a geometry-optimized VBiH2Cl structure, as listed in the Alexandria database.

a = 3.863 Å, b = 3.863 Å, c = 7.807 Å
α = 90.00°, β = 90.00°, γ = 90.00°
Atoms (fractional coordinates):
V 0.000 0.000 0.000
Bi 0.500 0.500 0.500
H 0.000 0.500 0.500
H 0.500 0.000 0.500
Cl 0.500 0.500 0.000

Computed properties:
N(E_F) (states/eV/cell): 3.71
Energy (eV for the cell shown): -18.54

Repeat the seventh record exactly.
First-principles (GGA-PBE) data for a geometry-optimized LiBe2Ni structure, as listed in the Alexandria database.

a = 2.541 Å, b = 2.874 Å, c = 5.548 Å
α = 90.00°, β = 90.09°, γ = 90.00°
Atoms (fractional coordinates):
Li 0.000 0.000 0.000
Be 0.499 0.500 0.294
Be 0.501 0.500 0.706
Ni 0.000 0.000 0.500

Computed properties:
Formation energy (eV per formula unit): -0.50
N(E_F) (states/eV/cell): 1.12
Energy (eV for the cell shown): -15.65

Repeat the second record exactly.
First-principles (GGA-PBE) data for a geometry-optimized GeIO3 structure, as listed in the Alexandria database.

a = 3.890 Å, b = 3.890 Å, c = 3.890 Å
α = 90.00°, β = 90.00°, γ = 90.00°
Atoms (fractional coordinates):
Ge 0.000 0.000 0.000
I 0.500 0.500 0.500
O 0.000 0.000 0.500
O 0.000 0.500 0.000
O 0.500 0.000 0.000

Computed properties:
N(E_F) (states/eV/cell): 2.82
Raw formation energy (eV/atom): -0.31
Energy (eV for the cell shown): -22.59

- The lowest energy belongs to which entry?
  Pm2SmHoTm6

- What is the formula in the second record?
  GeIO3